The following is a DFT calculation (GGA-PBEsol) of crystalline CrRuO2F at its relaxed geometry.

The structure in POSCAR format:
```
CrRuO2F
1.0
-2.2340 1.8412 -2.3935
2.1489 -1.1224 -2.8692
-2.1531 -3.1214 -0.3916
Ru F O Cr
1 1 2 1
Cartesian
-1.1191 -1.2012 -2.8271 Ru
-1.0765 -1.5607 -0.1958 F
1.0745 -0.5612 -1.4346 O
-1.1170 0.9206 -1.1967 O
0.0000 0.0000 0.0000 Cr
```

The value obtained for the density of states at the Fermi level is 6.9 states/eV per cell. The formation energy (no corrections) comes out at -0.611 eV/atom. As for the symmetry: P4/mmm. The volume is 10.76 Å³ per atom.